Entry 1:
# RbHg11, optimized geometry, DFT GGA-PBE
data_RbHg11
_chemical_formula_sum 'Rb3 Hg33'
_cell_length_a 9.9756
_cell_length_b 9.9756
_cell_length_c 9.9756
_cell_angle_alpha 90.00
_cell_angle_beta 90.00
_cell_angle_gamma 90.00
_space_group_name_H-M_alt 'P m -3 m'
_space_group_IT_number 221
_space_group_name_Hall '-P 4 2 3'
loop_
_atom_site_label
_atom_site_fract_x
_atom_site_fract_y
_atom_site_fract_z
_atom_site_occupancy
Rb1 0.0000 0.0000 0.5000 1
Hg1 0.0000 0.3458 0.3458 1
Hg2 0.1539 0.1539 0.1539 1
Hg3 0.2680 0.2680 0.5000 1
Hg4 0.5000 0.5000 0.5000 1
# DFT total energy   -0.438 eV per atom
# Crystal system   cubic

Entry 2:
# RbReHg3Se4, optimized geometry, DFT GGA-PBE
data_RbReHg3Se4
_chemical_formula_sum 'Rb1 Re1 Hg3 Se4'
_cell_length_a 7.4510
_cell_length_b 7.4510
_cell_length_c 7.4510
_cell_angle_alpha 90.00
_cell_angle_beta 90.00
_cell_angle_gamma 90.00
_space_group_name_H-M_alt 'P -4 3 m'
_space_group_IT_number 215
_space_group_name_Hall 'P -4 2 3'
loop_
_atom_site_label
_atom_site_fract_x
_atom_site_fract_y
_atom_site_fract_z
_atom_site_occupancy
Rb1 0.0000 0.0000 0.0000 1
Re1 0.5000 0.5000 0.5000 1
Hg1 0.0000 0.5000 0.5000 1
Se1 0.3213 0.3213 0.3213 1
# DFT total energy   -3.323 eV per atom
# Crystal system   cubic

Entry 3:
# RbHgSbS3, optimized geometry, DFT GGA-PBE
data_RbHgSbS3
_chemical_formula_sum 'Rb4 Hg4 Sb4 S12'
_cell_length_a 4.1664
_cell_length_b 15.0911
_cell_length_c 10.8208
_cell_angle_alpha 90.00
_cell_angle_beta 90.00
_cell_angle_gamma 90.00
_space_group_name_H-M_alt 'C m c m'
_space_group_IT_number 63
_space_group_name_Hall '-C 2c 2'
loop_
_atom_site_label
_atom_site_fract_x
_atom_site_fract_y
_atom_site_fract_z
_atom_site_occupancy
Rb1 0.0000 0.2265 0.2500 1
Hg1 0.0000 0.0640 0.7500 1
Sb1 0.0000 0.5000 0.0000 1
S1 0.0000 0.1231 0.5360 1
S2 0.0000 0.4484 0.7500 1
# DFT total energy   -3.416 eV per atom
# Crystal system   orthorhombic